No. 1
PBE TbNdYHg, relaxed; ΔE_f = -0.239 eV per atom; space-group type = P4mm (99)
1.0
-3.549 0.906 0.095
-0.505 -2.274 2.828
1.843 6.631 5.662
Nd Y Tb Hg
1 1 1 1
Cartesian
0.133 0.478 0.409
-0.577 4.533 5.916
-1.374 1.665 3.467
1.053 3.789 3.235

---

No. 2
PBE AlTeCN2, relaxed; space-group type = P4/mmm (123); energy relative to the elements, uncorrected = 10.98 eV per formula unit
1.0
-2.527 2.656 0.983
-2.201 -2.671 1.559
2.092 0.549 3.894
N Al Te C
2 1 1 1
Cartesian
-1.264 1.328 0.492
-1.101 -1.335 0.779
-1.318 0.267 3.218
1.046 0.274 1.947
0.000 0.000 0.000

---

| no. | magnetization (μB/atom) | raw total energy (eV/atom) |
| --- | --- | --- |
| 1 | 0.000 | -4.280 |
| 2 | 0.245 | -4.356 |